The following is a PBE+U calculation of an optimized crystal structure of MoPRuO2, from Alexandria.

Lattice parameters (Å, degrees): 3.7611 3.7611 5.4237 90.00 90.00 90.00
Space group P4/mmm (No. 123)
Inequivalent atoms, fractional coordinates:
Mo (0.0000, 0.0000, 0.0000) x1
P (0.5000, 0.5000, 0.0000) x1
Ru (0.5000, 0.5000, 0.5000) x1
O (0.0000, 0.5000, 0.5000) x2

Results
Relative energy among the computed polymorphs   0.10 eV/f.u.